(1)
Entry from Alexandria: a geometry-optimized LaMgBeH6 structure (PBE).

a b c (Å): 4.5118 4.5118 4.6661
angles (deg): 90.00 90.00 120.00
Space group P-6m2 (No. 187)
Unique sites:
La1 0.0000 0.0000 0.0000 x1
Mg1 0.3333 0.6667 0.5000 x1
Be1 0.6667 0.3333 0.5000 x1
H1 0.5166 0.0332 0.2436 x6

## Properties
Magnetization ... 0.00 μB/cell
E ... -3.576 eV per atom



(2)
Entry from Alexandria: a geometry-optimized La2BeMoH structure (PBE).

a b c (Å): 5.469 5.469 4.151
angles (deg): 90.00 90.00 90.00
Space group P4/mmm (No. 123)
Unique sites:
La1 0.000 0.500 0.000 x2
Be1 0.000 0.000 0.000 x1
Mo1 0.000 0.000 0.500 x1
H1 0.500 0.500 0.500 x1

## Properties
Magnetization ... 0.87 μB/cell
E ... -4.723 eV per atom



(3)
Entry from Alexandria: a geometry-optimized LaBe2HN2 structure (PBE).

a b c (Å): 6.867 9.212 4.122
angles (deg): 90.00 90.00 90.00
Space group Cmcm (No. 63)
Unique sites:
La1 0.000 0.193 0.250 x4
Be1 0.178 0.500 0.000 x8
H1 0.000 0.421 0.750 x4
N1 0.234 0.114 0.750 x8

## Properties
Magnetization ... 0.00 μB/cell
E ... -6.254 eV per atom



(4)
Entry from Alexandria: a geometry-optimized LaBe2NiH8 structure (PBE).

a b c (Å): 4.2873 4.2873 18.0368
angles (deg): 90.00 90.00 120.00
Space group R-3 (No. 148, hexagonal axes)
Unique sites:
La1 0.0000 0.0000 0.0000 x3
Be1 0.0000 0.0000 0.2334 x6
Ni1 0.0000 0.0000 0.5000 x3
H1 0.0000 0.0000 0.3173 x6
H2 0.0021 0.6791 0.4427 x18

## Properties
Magnetization ... 3.00 μB/cell
E ... -3.911 eV per atom



(5)
Entry from Alexandria: a geometry-optimized LaBeNi2H8 structure (PBE).

a b c (Å): 4.1890 4.1890 6.4447
angles (deg): 90.00 90.00 120.00
Space group P-3 (No. 147)
Unique sites:
La1 0.0000 0.0000 0.0000 x1
Be1 0.0000 0.0000 0.5000 x1
Ni1 0.3333 0.6667 0.5214 x2
H1 0.0066 0.6683 0.3532 x6
H2 0.3333 0.6667 0.0098 x2

## Properties
Magnetization ... 0.00 μB/cell
E ... -4.103 eV per atom



(6)
Entry from Alexandria: a geometry-optimized LaBe2NiH structure (PBE).

a b c (Å): 4.091 4.091 4.196
angles (deg): 90.00 90.00 90.00
Space group P4/mmm (No. 123)
Unique sites:
La1 0.000 0.000 0.000 x1
Be1 0.000 0.500 0.500 x2
Ni1 0.500 0.500 0.500 x1
H1 0.500 0.500 0.000 x1

## Properties
Magnetization ... 0.00 μB/cell
E ... -4.209 eV per atom



(7)
Entry from Alexandria: a geometry-optimized LaBeP2H structure (PBE).

a b c (Å): 5.518 5.518 6.200
angles (deg): 90.00 90.00 90.00
Space group P4/mmm (No. 123)
Unique sites:
La1 0.000 0.000 0.000 x1
Be1 0.000 0.000 0.500 x1
P1 0.000 0.500 0.000 x2
H1 0.500 0.500 0.500 x1

## Properties
Magnetization ... 0.93 μB/cell
E ... -3.045 eV per atom



(8)
Entry from Alexandria: a geometry-optimized LaBeHPb2 structure (PBE).

a b c (Å): 7.213 7.213 4.277
angles (deg): 90.00 90.00 90.00
Space group P4/mmm (No. 123)
Unique sites:
La1 0.000 0.000 0.000 x1
Be1 0.500 0.500 0.500 x1
H1 0.000 0.000 0.500 x1
Pb1 0.000 0.500 0.000 x2

## Properties
Magnetization ... 0.00 μB/cell
E ... -2.902 eV per atom